The following is a DFT calculation (PBE) of a relaxed structure of RbFeAuSe3.

```
RbFeAuSe3
1.0
10.267 0.000 0.000
0.000 7.980 1.861
0.000 -7.980 1.861
Au Fe Rb Se
2 2 2 6
Direct
0.750 0.554 0.446
0.250 0.446 0.554
0.000 0.000 0.000
0.500 0.000 0.000
0.250 0.756 0.244
0.750 0.244 0.756
0.750 0.935 0.065
0.519 0.609 0.391
0.981 0.609 0.391
0.019 0.391 0.609
0.481 0.391 0.609
0.250 0.065 0.935
```

Electronic total energy ... -4.098 eV per atom